A relaxed KCoF2 crystal, computed with PBE with a Hubbard U.

Computed properties:
The crystal system is tetragonal. The excess energy over the best structure of this formula in the dataset is 3.68 kcal/mol of atoms.

Cell lengths 4.940, 4.940, 7.029 Å; angles 69.43, 69.43, 90.00 degrees
Each line ends with the local moment (μB).
Sites, in units of the cell vectors:
1 F 0.875 0.974 0.750  0.02
2 F 0.375 0.276 0.750  0.02
3 F 0.724 0.125 0.250  0.02
4 F 0.026 0.625 0.250  0.02
5 K 0.500 0.500 0.000  0.00
6 K 0.250 0.750 0.500  0.00
7 Co 0.750 0.250 0.500  2.05
8 Co 0.000 0.000 0.000  2.05